1.
Cr2OsPt | PBE | relaxed

abc: 8.7945 2.6825 4.6584
angles: 90.00 100.19 90.00
Last column: nearest neighbours and their distance in Å.
Atoms (fractional coordinates):
Cr (0.2480, 0.0000, 0.2319)  6 Cr 2.55-2.83, 3 Os 2.62-2.63, 3 Pt 2.70
Cr (0.2520, 0.5000, 0.7681)  6 Cr 2.55-2.83, 3 Os 2.62-2.63, 3 Pt 2.70
Cr (0.7480, 0.5000, 0.2319)  6 Cr 2.55-2.83, 3 Os 2.62-2.63, 3 Pt 2.70
Cr (0.7520, 0.0000, 0.7681)  6 Cr 2.55-2.83, 3 Os 2.62-2.63, 3 Pt 2.70
Os (0.0000, 0.5000, 0.0000)  6 Cr 2.62-2.63, 2 Os 2.68, 4 Pt 2.69
Os (0.5000, 0.0000, 0.0000)  6 Cr 2.62-2.63, 2 Os 2.68, 4 Pt 2.69
Pt (0.0000, 0.0000, 0.5000)  2 Pt 2.68, 4 Os 2.69, 6 Cr 2.70
Pt (0.5000, 0.5000, 0.5000)  2 Pt 2.68, 4 Os 2.69, 6 Cr 2.70

Computed properties:
- ΔH_f (0 K) (eV per atom) = 0.084

***

2.
Cr2OsPt | PBE | relaxed

abc: 8.8619 2.6992 4.6007
angles: 90.00 101.05 90.00
Last column: nearest neighbours and their distance in Å.
Atoms (fractional coordinates):
Cr (0.0000, 0.0000, 0.0000)  3 Os 2.58-2.62, 5 Cr 2.63-2.75, 4 Pt 2.66-2.68
Cr (0.2442, 0.5000, 0.2579)  4 Os 2.55-2.79, 3 Pt 2.63-2.67, 5 Cr 2.63-2.75
Cr (0.5000, 0.5000, 0.0000)  3 Os 2.58-2.62, 5 Cr 2.63-2.75, 4 Pt 2.66-2.68
Cr (0.7442, 0.0000, 0.2579)  4 Os 2.55-2.79, 3 Pt 2.63-2.67, 5 Cr 2.63-2.75
Os (0.2544, 0.0000, 0.7910)  7 Cr 2.55-2.79, 2 Os 2.70, 3 Pt 2.76-2.77
Os (0.7544, 0.5000, 0.7910)  7 Cr 2.55-2.79, 2 Os 2.70, 3 Pt 2.76-2.77
Pt (0.4976, 0.0000, 0.4965)  7 Cr 2.63-2.68, 2 Pt 2.70, 3 Os 2.76-2.77
Pt (0.9976, 0.5000, 0.4965)  7 Cr 2.63-2.68, 2 Pt 2.70, 3 Os 2.76-2.77

Computed properties:
- ΔH_f (0 K) (eV per atom) = 0.028

***

3.
CrOsPt2 | PBE | relaxed

abc: 3.2626 3.2626 5.5554
angles: 90.00 90.00 90.00
Last column: nearest neighbours and their distance in Å.
Atoms (fractional coordinates):
Cr (0.0000, 0.0000, 0.0000)  4 Os 2.62, 6 Pt 2.68-2.86
Os (0.5000, 0.5000, 0.2247)  6 Pt 2.62-2.93, 4 Cr 2.62
Pt (0.0000, 0.0000, 0.4855)  2 Cr 2.70-2.86, 4 Os 2.72, 4 Pt 2.74
Pt (0.5000, 0.5000, 0.7529)  2 Os 2.62-2.93, 4 Cr 2.68, 4 Pt 2.74

Computed properties:
- ΔH_f (0 K) (eV per atom) = 0.152

***

4.
CrOs4Pt | PBE | relaxed

abc: 5.1167 5.1167 5.1167
angles: 60.00 60.00 60.00
Last column: nearest neighbours and their distance in Å.
Atoms (fractional coordinates):
Cr (0.0000, 0.0000, 0.0000)  12 Os 3.00, 4 Pt 3.13
Os (0.1254, 0.6249, 0.6249)  6 Os 2.56
Os (0.6249, 0.1254, 0.6249)  6 Os 2.56
Os (0.6249, 0.6249, 0.1254)  6 Os 2.56
Os (0.6249, 0.6249, 0.6249)  6 Os 2.56
Pt (0.2500, 0.2500, 0.2500)  12 Os 3.00, 4 Cr 3.13

Computed properties:
- ΔH_f (0 K) (eV per atom) = 0.704

***

5.
CrOsPt2 | PBE | relaxed

abc: 9.1186 2.7319 4.7562
angles: 90.00 100.56 90.00
Last column: nearest neighbours and their distance in Å.
Atoms (fractional coordinates):
Cr (0.0000, 0.0000, 0.0000)  3 Os 2.63-2.84, 7 Pt 2.69-2.80, 2 Cr 2.73
Cr (0.5000, 0.5000, 0.0000)  3 Os 2.63-2.84, 7 Pt 2.69-2.80, 2 Cr 2.73
Os (0.2638, 0.0000, 0.7620)  3 Cr 2.63-2.84, 7 Pt 2.70-2.79, 2 Os 2.73
Os (0.7638, 0.5000, 0.7620)  3 Cr 2.63-2.84, 7 Pt 2.70-2.79, 2 Os 2.73
Pt (0.0085, 0.5000, 0.5165)  4 Cr 2.69-2.80, 3 Os 2.70-2.77, 5 Pt 2.73-2.84
Pt (0.2481, 0.5000, 0.2455)  4 Os 2.70-2.79, 3 Cr 2.72-2.76, 5 Pt 2.73-2.84
Pt (0.5085, 0.0000, 0.5165)  4 Cr 2.69-2.80, 3 Os 2.70-2.77, 5 Pt 2.73-2.84
Pt (0.7481, 0.0000, 0.2455)  4 Os 2.70-2.79, 3 Cr 2.72-2.76, 5 Pt 2.73-2.84

Computed properties:
- ΔH_f (0 K) (eV per atom) = -0.014

***

6.
CrOsPt2 | PBE | relaxed

abc: 6.2112 6.2112 6.2112
angles: 90.00 90.00 90.00
Last column: nearest neighbours and their distance in Å.
Atoms (fractional coordinates):
Cr (0.0000, 0.0000, 0.0000)  4 Os 2.69, 4 Pt 2.69
Cr (0.0000, 0.5000, 0.5000)  4 Os 2.69, 4 Pt 2.69
Cr (0.5000, 0.0000, 0.5000)  4 Os 2.69, 4 Pt 2.69
Cr (0.5000, 0.5000, 0.0000)  4 Os 2.69, 4 Pt 2.69
Os (0.2500, 0.2500, 0.2500)  4 Cr 2.69, 4 Pt 2.69
Os (0.2500, 0.7500, 0.7500)  4 Cr 2.69, 4 Pt 2.69
Os (0.7500, 0.2500, 0.7500)  4 Cr 2.69, 4 Pt 2.69
Os (0.7500, 0.7500, 0.2500)  4 Cr 2.69, 4 Pt 2.69
Pt (0.0000, 0.0000, 0.5000)  4 Os 2.69, 4 Pt 2.69
Pt (0.0000, 0.5000, 0.0000)  4 Os 2.69, 4 Pt 2.69
Pt (0.2500, 0.2500, 0.7500)  4 Cr 2.69, 4 Pt 2.69
Pt (0.2500, 0.7500, 0.2500)  4 Cr 2.69, 4 Pt 2.69
Pt (0.5000, 0.0000, 0.0000)  4 Os 2.69, 4 Pt 2.69
Pt (0.5000, 0.5000, 0.5000)  4 Os 2.69, 4 Pt 2.69
Pt (0.7500, 0.2500, 0.2500)  4 Cr 2.69, 4 Pt 2.69
Pt (0.7500, 0.7500, 0.7500)  4 Cr 2.69, 4 Pt 2.69

Computed properties:
- ΔH_f (0 K) (eV per atom) = 0.285

***

7.
CrOsPt2 | PBE | relaxed

abc: 9.0683 2.7277 4.7080
angles: 90.00 100.11 90.00
Last column: nearest neighbours and their distance in Å.
Atoms (fractional coordinates):
Cr (0.0000, 0.0000, 0.0000)  6 Pt 2.72-2.74, 4 Os 2.72, 2 Cr 2.73
Cr (0.5000, 0.5000, 0.0000)  6 Pt 2.72-2.74, 4 Os 2.72, 2 Cr 2.73
Os (0.0000, 0.5000, 0.5000)  4 Cr 2.72, 6 Pt 2.73-2.74, 2 Os 2.73
Os (0.5000, 0.0000, 0.5000)  4 Cr 2.72, 6 Pt 2.73-2.74, 2 Os 2.73
Pt (0.2488, 0.5000, 0.2480)  6 Pt 2.71-2.73, 3 Cr 2.72-2.74, 3 Os 2.73-2.74
Pt (0.2512, 0.0000, 0.7520)  6 Pt 2.71-2.73, 3 Cr 2.72-2.74, 3 Os 2.73-2.74
Pt (0.7488, 0.0000, 0.2480)  6 Pt 2.71-2.73, 3 Cr 2.72-2.74, 3 Os 2.73-2.74
Pt (0.7512, 0.5000, 0.7520)  6 Pt 2.71-2.73, 3 Cr 2.72-2.74, 3 Os 2.73-2.74

Computed properties:
- ΔH_f (0 K) (eV per atom) = 0.068

***

8.
CrOsPt2 | PBE | relaxed

abc: 6.1844 6.1844 6.1844
angles: 90.00 90.00 90.00
Last column: nearest neighbours and their distance in Å.
Atoms (fractional coordinates):
Cr (0.0000, 0.0000, 0.0000)  8 Pt 2.68
Cr (0.0000, 0.5000, 0.5000)  8 Pt 2.68
Cr (0.5000, 0.0000, 0.5000)  8 Pt 2.68
Cr (0.5000, 0.5000, 0.0000)  8 Pt 2.68
Os (0.0000, 0.0000, 0.5000)  8 Pt 2.68
Os (0.0000, 0.5000, 0.0000)  8 Pt 2.68
Os (0.5000, 0.0000, 0.0000)  8 Pt 2.68
Os (0.5000, 0.5000, 0.5000)  8 Pt 2.68
Pt (0.2500, 0.2500, 0.2500)  4 Cr 2.68, 4 Os 2.68
Pt (0.2500, 0.2500, 0.7500)  4 Cr 2.68, 4 Os 2.68
Pt (0.2500, 0.7500, 0.2500)  4 Cr 2.68, 4 Os 2.68
Pt (0.2500, 0.7500, 0.7500)  4 Cr 2.68, 4 Os 2.68
Pt (0.7500, 0.2500, 0.2500)  4 Cr 2.68, 4 Os 2.68
Pt (0.7500, 0.2500, 0.7500)  4 Cr 2.68, 4 Os 2.68
Pt (0.7500, 0.7500, 0.2500)  4 Cr 2.68, 4 Os 2.68
Pt (0.7500, 0.7500, 0.7500)  4 Cr 2.68, 4 Os 2.68

Computed properties:
- ΔH_f (0 K) (eV per atom) = 0.457

***

9.
Cr2OsPt | PBE | relaxed

abc: 2.6718 2.6718 26.2295
angles: 90.00 90.00 120.00
Last column: nearest neighbours and their distance in Å.
Atoms (fractional coordinates):
Cr (0.0000, 0.0000, 0.2483)  3 Os 2.64, 6 Cr 2.67, 3 Pt 2.71
Cr (0.0000, 0.0000, 0.7517)  3 Os 2.64, 6 Cr 2.67, 3 Pt 2.71
Cr (0.3333, 0.6667, 0.4184)  3 Os 2.64, 6 Cr 2.67, 3 Pt 2.71
Cr (0.3333, 0.6667, 0.9150)  3 Os 2.64, 6 Cr 2.67, 3 Pt 2.71
Cr (0.6667, 0.3333, 0.0850)  3 Os 2.64, 6 Cr 2.67, 3 Pt 2.71
Cr (0.6667, 0.3333, 0.5816)  3 Os 2.64, 6 Cr 2.67, 3 Pt 2.71
Os (0.0000, 0.0000, 0.5000)  6 Cr 2.64, 6 Os 2.67
Os (0.3333, 0.6667, 0.1667)  6 Cr 2.64, 6 Os 2.67
Os (0.6667, 0.3333, 0.8333)  6 Cr 2.64, 6 Os 2.67
Pt (0.0000, 0.0000, 0.0000)  6 Pt 2.67, 6 Cr 2.71
Pt (0.3333, 0.6667, 0.6667)  6 Pt 2.67, 6 Cr 2.71
Pt (0.6667, 0.3333, 0.3333)  6 Pt 2.67, 6 Cr 2.71

Computed properties:
- ΔH_f (0 K) (eV per atom) = 0.047

***

10.
Cr2OsPt | PBE | relaxed

abc: 6.7133 6.7133 5.2904
angles: 90.00 90.00 90.00
Last column: nearest neighbours and their distance in Å.
Atoms (fractional coordinates):
Cr (0.2278, 0.2500, 0.1250)  2 Os 2.36, 2 Pt 2.57
Cr (0.2500, 0.7278, 0.3750)  2 Os 2.36, 2 Pt 2.57
Cr (0.2500, 0.7722, 0.8750)  2 Os 2.36, 2 Pt 2.57
Cr (0.2722, 0.2500, 0.6250)  2 Os 2.36, 2 Pt 2.57
Cr (0.7278, 0.7500, 0.6250)  2 Os 2.36, 2 Pt 2.57
Cr (0.7500, 0.2278, 0.8750)  2 Os 2.36, 2 Pt 2.57
Cr (0.7500, 0.2722, 0.3750)  2 Os 2.36, 2 Pt 2.57
Cr (0.7722, 0.7500, 0.1250)  2 Os 2.36, 2 Pt 2.57
Os (0.0000, 0.0000, 0.0000)  4 Cr 2.36, 2 Pt 2.65
Os (0.0000, 0.5000, 0.2500)  4 Cr 2.36, 2 Pt 2.65
Os (0.5000, 0.0000, 0.7500)  4 Cr 2.36, 2 Pt 2.65
Os (0.5000, 0.5000, 0.5000)  4 Cr 2.36, 2 Pt 2.65
Pt (0.0000, 0.0000, 0.5000)  4 Cr 2.57, 2 Os 2.65
Pt (0.0000, 0.5000, 0.7500)  4 Cr 2.57, 2 Os 2.65
Pt (0.5000, 0.0000, 0.2500)  4 Cr 2.57, 2 Os 2.65
Pt (0.5000, 0.5000, 0.0000)  4 Cr 2.57, 2 Os 2.65

Computed properties:
- ΔH_f (0 K) (eV per atom) = 0.629

***

11.
Cr2OsPt | PBE | relaxed

abc: 6.0724 6.0724 6.0724
angles: 90.00 90.00 90.00
Last column: nearest neighbours and their distance in Å.
Atoms (fractional coordinates):
Cr (0.0000, 0.0000, 0.0000)  4 Pt 2.63, 4 Cr 2.63
Cr (0.0000, 0.5000, 0.5000)  4 Pt 2.63, 4 Cr 2.63
Cr (0.2500, 0.2500, 0.2500)  4 Cr 2.63, 4 Os 2.63
Cr (0.2500, 0.7500, 0.7500)  4 Cr 2.63, 4 Os 2.63
Cr (0.5000, 0.0000, 0.5000)  4 Pt 2.63, 4 Cr 2.63
Cr (0.5000, 0.5000, 0.0000)  4 Pt 2.63, 4 Cr 2.63
Cr (0.7500, 0.2500, 0.7500)  4 Cr 2.63, 4 Os 2.63
Cr (0.7500, 0.7500, 0.2500)  4 Cr 2.63, 4 Os 2.63
Os (0.0000, 0.0000, 0.5000)  4 Cr 2.63, 4 Pt 2.63
Os (0.0000, 0.5000, 0.0000)  4 Cr 2.63, 4 Pt 2.63
Os (0.5000, 0.0000, 0.0000)  4 Cr 2.63, 4 Pt 2.63
Os (0.5000, 0.5000, 0.5000)  4 Cr 2.63, 4 Pt 2.63
Pt (0.2500, 0.2500, 0.7500)  4 Os 2.63, 4 Cr 2.63
Pt (0.2500, 0.7500, 0.2500)  4 Os 2.63, 4 Cr 2.63
Pt (0.7500, 0.2500, 0.2500)  4 Os 2.63, 4 Cr 2.63
Pt (0.7500, 0.7500, 0.7500)  4 Os 2.63, 4 Cr 2.63

Computed properties:
- ΔH_f (0 K) (eV per atom) = 0.301

***

12.
CrOsPt2 | PBE | relaxed

abc: 3.8272 3.8272 7.9113
angles: 90.00 90.00 90.00
Last column: nearest neighbours and their distance in Å.
Atoms (fractional coordinates):
Cr (0.0000, 0.0000, 0.0000)  4 Os 2.71, 8 Pt 2.75
Cr (0.5000, 0.5000, 0.5000)  4 Os 2.71, 8 Pt 2.75
Os (0.0000, 0.0000, 0.5000)  4 Cr 2.71, 8 Pt 2.75
Os (0.5000, 0.5000, 0.0000)  4 Cr 2.71, 8 Pt 2.75
Pt (0.0000, 0.5000, 0.2500)  4 Pt 2.71, 4 Cr 2.75, 4 Os 2.75
Pt (0.0000, 0.5000, 0.7500)  4 Pt 2.71, 4 Os 2.75, 4 Cr 2.75
Pt (0.5000, 0.0000, 0.2500)  4 Pt 2.71, 4 Cr 2.75, 4 Os 2.75
Pt (0.5000, 0.0000, 0.7500)  4 Pt 2.71, 4 Os 2.75, 4 Cr 2.75

Computed properties:
- ΔH_f (0 K) (eV per atom) = -0.023

***

- Look up the ΔH_f (0 K) of the tenth one.
  0.629 eV per atom

***

- What is the formula in the seventh record?
  CrOsPt2

***

Please write out number 10 again, unchanged.
Cr2OsPt | PBE | relaxed

abc: 6.7133 6.7133 5.2904
angles: 90.00 90.00 90.00
Last column: nearest neighbours and their distance in Å.
Atoms (fractional coordinates):
Cr (0.2278, 0.2500, 0.1250)  2 Os 2.36, 2 Pt 2.57
Cr (0.2500, 0.7278, 0.3750)  2 Os 2.36, 2 Pt 2.57
Cr (0.2500, 0.7722, 0.8750)  2 Os 2.36, 2 Pt 2.57
Cr (0.2722, 0.2500, 0.6250)  2 Os 2.36, 2 Pt 2.57
Cr (0.7278, 0.7500, 0.6250)  2 Os 2.36, 2 Pt 2.57
Cr (0.7500, 0.2278, 0.8750)  2 Os 2.36, 2 Pt 2.57
Cr (0.7500, 0.2722, 0.3750)  2 Os 2.36, 2 Pt 2.57
Cr (0.7722, 0.7500, 0.1250)  2 Os 2.36, 2 Pt 2.57
Os (0.0000, 0.0000, 0.0000)  4 Cr 2.36, 2 Pt 2.65
Os (0.0000, 0.5000, 0.2500)  4 Cr 2.36, 2 Pt 2.65
Os (0.5000, 0.0000, 0.7500)  4 Cr 2.36, 2 Pt 2.65
Os (0.5000, 0.5000, 0.5000)  4 Cr 2.36, 2 Pt 2.65
Pt (0.0000, 0.0000, 0.5000)  4 Cr 2.57, 2 Os 2.65
Pt (0.0000, 0.5000, 0.7500)  4 Cr 2.57, 2 Os 2.65
Pt (0.5000, 0.0000, 0.2500)  4 Cr 2.57, 2 Os 2.65
Pt (0.5000, 0.5000, 0.0000)  4 Cr 2.57, 2 Os 2.65

Computed properties:
- ΔH_f (0 K) (eV per atom) = 0.629